A plane-wave DFT calculation with PBE with a Hubbard U was carried out for crystalline Ba6Mn2ZnCl6F12 at its relaxed geometry.

abc: 10.2252 10.2252 5.9470
angles: 90.00 90.00 120.00
Space group P-3 (No. 147)
Inequivalent atoms, fractional coordinates:
Ba: 0.0915 0.6887 0.2512 [6 per cell]
Mn: 0.3333 0.6667 0.7512 [2 per cell]
Zn: 0.0000 0.0000 0.0000 [1 per cell]
Cl: 0.0493 0.8257 0.7668 [6 per cell]
F: 0.1600 0.5213 0.9862 [6 per cell]
F: 0.1610 0.5173 0.5138 [6 per cell]

Energy   -143.3 eV for the cell shown